<i>
A plane-wave DFT calculation with GGA+U was carried out for crystalline SrFeNF2 at its relaxed geometry.

Calculated values
Total moment (μB/cell): 5.28
DOS(E_F) (states/eV per atom): 0.4551
Symmetry: P4/mmm (123)

a = 4.5095 Å, b = 4.5095 Å, c = 5.1253 Å
α = 90.00°, β = 90.00°, γ = 90.00°
Positions (direct):
Sr: 0.0000 0.0000 0.0000
N: 0.0000 0.0000 0.5000
Fe: 0.5000 0.5000 0.5000
F: 0.0000 0.5000 0.0000
F: 0.5000 0.0000 0.0000


<ii>
A plane-wave DFT calculation with GGA+U was carried out for crystalline SrFeNF2 at its relaxed geometry.

Calculated values
Total moment (μB/cell): 4.99
DOS(E_F) (states/eV per atom): 0.0331
Symmetry: P4/mmm (123)

a = 4.1750 Å, b = 4.1750 Å, c = 3.9540 Å
α = 90.00°, β = 90.00°, γ = 90.00°
Positions (direct):
Sr: 0.5000 0.5000 0.5000
N: 0.0000 0.0000 0.5000
Fe: 0.0000 0.0000 0.0000
F: 0.0000 0.5000 0.0000
F: 0.5000 0.0000 0.0000


Which of them is most stable, and which least? Most stable: <ii>; least stable: <i>.


<i>
A plane-wave DFT calculation with GGA+U was carried out for crystalline FeTcNF2 at its relaxed geometry.

Calculated values
Total moment (μB/cell): 9.35
DOS(E_F) (states/eV per atom): 0.3911
Symmetry: P4/mmm (123)

a = 3.8774 Å, b = 3.8774 Å, c = 4.2486 Å
α = 90.00°, β = 90.00°, γ = 90.00°
Positions (direct):
N: 0.0000 0.0000 0.5000
F: 0.0000 0.5000 0.0000
F: 0.5000 0.0000 0.0000
Tc: 0.5000 0.5000 0.5000
Fe: 0.0000 0.0000 0.0000


<ii>
A plane-wave DFT calculation with GGA+U was carried out for crystalline FeTcNF2 at its relaxed geometry.

Calculated values
Total moment (μB/cell): 3.56
DOS(E_F) (states/eV per atom): 0.9493
Symmetry: P4/mmm (123)

a = 3.8091 Å, b = 5.6106 Å, c = 3.8091 Å
α = 90.00°, β = 90.00°, γ = 90.00°
Positions (direct):
N: 0.5000 0.5000 0.5000
F: 0.0000 0.0000 0.5000
F: 0.5000 0.0000 0.0000
Tc: 0.0000 0.0000 0.0000
Fe: 0.0000 0.5000 0.0000


Which of them is most stable, and which least? Most stable: <i>; least stable: <ii>.


<i>
A plane-wave DFT calculation with GGA+U was carried out for crystalline FeTeN2F at its relaxed geometry.

Calculated values
Total moment (μB/cell): 7.35
DOS(E_F) (states/eV per atom): 0.6773
Symmetry: P4/mmm (123)

a = 4.4699 Å, b = 4.4699 Å, c = 4.0805 Å
α = 90.00°, β = 90.00°, γ = 90.00°
Positions (direct):
N: 0.0000 0.5000 0.0000
N: 0.5000 0.0000 0.0000
Te: 0.0000 0.0000 0.5000
Fe: 0.5000 0.5000 0.5000
F: 0.0000 0.0000 0.0000


<ii>
A plane-wave DFT calculation with GGA+U was carried out for crystalline FeTeN2F at its relaxed geometry.

Calculated values
Total moment (μB/cell): 4.54
DOS(E_F) (states/eV per atom): 0.3546
Symmetry: P4/mmm (123)

a = 4.0689 Å, b = 4.0689 Å, c = 3.8037 Å
α = 90.00°, β = 90.00°, γ = 90.00°
Positions (direct):
N: 0.0000 0.5000 0.0000
N: 0.5000 0.0000 0.0000
Te: 0.5000 0.5000 0.5000
Fe: 0.0000 0.0000 0.0000
F: 0.0000 0.0000 0.5000


Which of them is most stable, and which least? Most stable: <ii>; least stable: <i>.


<i>
A plane-wave DFT calculation with GGA+U was carried out for crystalline FeTeN2F at its relaxed geometry.

Calculated values
Total moment (μB/cell): 1.53
DOS(E_F) (states/eV per atom): 0.5686
Symmetry: P4/mmm (123)

a = 3.6652 Å, b = 3.6652 Å, c = 5.7775 Å
α = 90.00°, β = 90.00°, γ = 90.00°
Positions (direct):
N: 0.0000 0.5000 0.0000
N: 0.5000 0.0000 0.0000
Te: 0.0000 0.0000 0.5000
Fe: 0.0000 0.0000 0.0000
F: 0.5000 0.5000 0.5000


<ii>
A plane-wave DFT calculation with GGA+U was carried out for crystalline FeTeN2F at its relaxed geometry.

Calculated values
Total moment (μB/cell): 3.98
DOS(E_F) (states/eV per atom): 0.3084
Symmetry: P4/mmm (123)

a = 4.1414 Å, b = 4.1414 Å, c = 4.1540 Å
α = 90.00°, β = 90.00°, γ = 90.00°
Positions (direct):
N: 0.0000 0.5000 0.0000
N: 0.5000 0.0000 0.0000
Te: 0.0000 0.0000 0.0000
Fe: 0.5000 0.5000 0.5000
F: 0.0000 0.0000 0.5000


Which of them is most stable, and which least? Most stable: <ii>; least stable: <i>.


<i>
A plane-wave DFT calculation with GGA+U was carried out for crystalline TiFeNF2 at its relaxed geometry.

Calculated values
Total moment (μB/cell): 3.02
DOS(E_F) (states/eV per atom): 0.9927
Symmetry: P4/mmm (123)

a = 3.9472 Å, b = 3.9472 Å, c = 3.9764 Å
α = 90.00°, β = 90.00°, γ = 90.00°
Positions (direct):
N: 0.0000 0.0000 0.5000
F: 0.0000 0.5000 0.0000
F: 0.5000 0.0000 0.0000
Fe: 0.5000 0.5000 0.5000
Ti: 0.0000 0.0000 0.0000


<ii>
A plane-wave DFT calculation with GGA+U was carried out for crystalline TiFeNF2 at its relaxed geometry.

Calculated values
Total moment (μB/cell): 4.99
DOS(E_F) (states/eV per atom): 0.6375
Symmetry: P4/mmm (123)

a = 3.8714 Å, b = 3.8714 Å, c = 4.1037 Å
α = 90.00°, β = 90.00°, γ = 90.00°
Positions (direct):
N: 0.0000 0.0000 0.5000
F: 0.0000 0.5000 0.0000
F: 0.5000 0.0000 0.0000
Fe: 0.0000 0.0000 0.0000
Ti: 0.5000 0.5000 0.5000


Which of them is most stable, and which least? Most stable: <i>; least stable: <ii>.


<i>
A plane-wave DFT calculation with GGA+U was carried out for crystalline VFeN2F at its relaxed geometry.

Calculated values
Total moment (μB/cell): 2.19
DOS(E_F) (states/eV per atom): 0.6027
Symmetry: P4/mmm (123)

a = 3.7640 Å, b = 3.7640 Å, c = 3.7801 Å
α = 90.00°, β = 90.00°, γ = 90.00°
Positions (direct):
N: 0.0000 0.5000 0.0000
N: 0.5000 0.0000 0.0000
F: 0.0000 0.0000 0.5000
Fe: 0.0000 0.0000 0.0000
V: 0.5000 0.5000 0.5000


<ii>
A plane-wave DFT calculation with GGA+U was carried out for crystalline VFeN2F at its relaxed geometry.

Calculated values
Total moment (μB/cell): 2.20
DOS(E_F) (states/eV per atom): 0.4246
Symmetry: P4/mmm (123)

a = 4.2117 Å, b = 3.5460 Å, c = 4.2117 Å
α = 90.00°, β = 90.00°, γ = 90.00°
Positions (direct):
N: 0.0000 0.0000 0.5000
N: 0.5000 0.0000 0.0000
F: 0.0000 0.0000 0.0000
Fe: 0.0000 0.5000 0.0000
V: 0.5000 0.5000 0.5000


Which of them is most stable, and which least? Most stable: <i>; least stable: <ii>.